Below is a relaxed structure of LaYCdIn, with properties calculated at the GGA-PBE level.

```
4
Lattice="0.000 3.862 3.862 3.862 0.000 3.862 3.862 3.862 0.000" Properties=species:S:1:pos:R:3 pbc="T T T"
La 0.000 0.000 0.000
Y 3.862 3.862 3.862
Cd 1.931 1.931 1.931
In 5.794 5.794 5.794
```

***

Below is a relaxed structure of Hg2RuPb, with properties calculated at the GGA-PBE level.

```
4
Lattice="3.546 0.000 0.000 0.000 4.815 0.000 -1.488 0.000 5.291" Properties=species:S:1:pos:R:3 pbc="T T T"
Hg 0.070 0.000 1.465
Hg 1.988 0.000 3.826
Ru 1.029 2.407 2.645
Pb 1.773 2.407 0.000
```

***

In the order shown, the computed DOS(E_F) values come out to 4.60, 2.47 states/eV/cell.
In the order shown, the computed formation enthalpy at 0 K values come out to -0.4307, 0.4774 eV/atom.